1.
# UFeI (PBE, optimized geometry)
# **Total DFT energy (no corrections)**: -20.5 eV per formula unit
# **Uncorrected formation energy**: 0.26 eV/atom
# **N(E_F)**: 8.87 states/eV per cell
# **Crystal system**: monoclinic
# **Total moment**: 0.175 μB/atom
data_UFeI
_chemical_formula_sum 'U2 Fe2 I2'
_cell_length_a 4.4058
_cell_length_b 7.7853
_cell_length_c 4.8540
_cell_angle_alpha 72.27
_cell_angle_beta 90.00
_cell_angle_gamma 106.44
_symmetry_space_group_name_H-M 'P 1'
_symmetry_Int_Tables_number 1
_symmetry_space_group_name_Hall 'P 1'
loop_
_atom_site_label
_atom_site_fract_x
_atom_site_fract_y
_atom_site_fract_z
_atom_site_occupancy
Fe1 0.0814 0.1628 0.3086 1
Fe2 0.9186 0.8372 0.6914 1
I1 0.6707 0.3414 0.3522 1
I2 0.3293 0.6586 0.6478 1
U1 0.0845 0.1689 0.8779 1
U2 0.9155 0.8311 0.1221 1

=====

2.
# TaCo2Pb (PBE, optimized geometry)
# **Total DFT energy (no corrections)**: -28.7 eV per formula unit
# **Energy of formation**: 267 meV per atom
# **N(E_F)**: 4.91 states/eV per cell
# **Crystal system**: orthorhombic
# **Total moment**: 0.000 μB/atom
data_TaCo2Pb
_chemical_formula_sum 'Ta1 Co2 Pb1'
_cell_length_a 4.0582
_cell_length_b 3.2646
_cell_length_c 5.0449
_cell_angle_alpha 71.19
_cell_angle_beta 90.00
_cell_angle_gamma 90.00
_symmetry_space_group_name_H-M 'P 1'
_symmetry_Int_Tables_number 1
_symmetry_space_group_name_Hall 'P 1'
loop_
_atom_site_label
_atom_site_fract_x
_atom_site_fract_y
_atom_site_fract_z
_atom_site_occupancy
Co1 0.0000 0.2071 0.9617 1
Co2 0.5000 0.0562 0.2625 1
Pb1 0.0000 0.4761 0.4233 1
Ta1 0.5000 0.7606 0.8525 1

=====

3.
# Cd3InAu4 (PBE, optimized geometry)
# **Total DFT energy (no corrections)**: -19.7 eV per formula unit
# **Energy of formation**: -142 meV per atom
# **N(E_F)**: 3.35 states/eV per cell
# **Crystal system**: cubic
# **Total moment**: 0.000 μB/atom
data_Cd3InAu4
_chemical_formula_sum 'Cd3 In1 Au4'
_cell_length_a 5.9021
_cell_length_b 5.9021
_cell_length_c 5.9021
_cell_angle_alpha 109.47
_cell_angle_beta 109.47
_cell_angle_gamma 109.47
_symmetry_space_group_name_H-M 'P 1'
_symmetry_Int_Tables_number 1
_symmetry_space_group_name_Hall 'P 1'
loop_
_atom_site_label
_atom_site_fract_x
_atom_site_fract_y
_atom_site_fract_z
_atom_site_occupancy
Au1 0.0000 0.0000 0.4999 1
Au2 0.4999 0.0000 0.0000 1
Au3 0.5001 0.5001 0.5001 1
Au4 0.0000 0.4999 0.0000 1
Cd1 0.5000 0.0000 0.5000 1
Cd2 0.0000 0.5000 0.5000 1
Cd3 0.5000 0.5000 0.0000 1
In1 0.0000 0.0000 0.0000 1

=====

4.
# LaZr2ScH (PBE, optimized geometry)
# **Total DFT energy (no corrections)**: -31.8 eV per formula unit
# **Energy above the most stable polymorph in this dataset**: 0.01 eV/f.u.
# **N(E_F)**: 5.12 states/eV per cell
# **Crystal system**: tetragonal
# **Total moment**: 0.000 μB/atom
data_LaZr2ScH
_chemical_formula_sum 'La1 Zr2 Sc1 H1'
_cell_length_a 4.6525
_cell_length_b 4.6525
_cell_length_c 4.7402
_cell_angle_alpha 90.00
_cell_angle_beta 90.00
_cell_angle_gamma 90.00
_symmetry_space_group_name_H-M 'P 1'
_symmetry_Int_Tables_number 1
_symmetry_space_group_name_Hall 'P 1'
loop_
_atom_site_label
_atom_site_fract_x
_atom_site_fract_y
_atom_site_fract_z
_atom_site_occupancy
La1 0.5000 0.5000 0.5000 1
Zr1 0.5000 0.0000 0.0000 1
Zr2 0.0000 0.5000 0.0000 1
H1 0.0000 0.0000 0.0000 1
Sc1 0.0000 0.0000 0.5000 1

=====

5.
# TlFe2Co (PBE, optimized geometry)
# **Total DFT energy (no corrections)**: -24.7 eV per formula unit
# **Energy of formation**: 432 meV per atom
# **N(E_F)**: 3.97 states/eV per cell
# **Crystal system**: monoclinic
# **Total moment**: 1.638 μB/atom
data_TlFe2Co
_chemical_formula_sum 'Tl1 Fe2 Co1'
_cell_length_a 4.5814
_cell_length_b 4.5814
_cell_length_c 4.6824
_cell_angle_alpha 75.94
_cell_angle_beta 75.94
_cell_angle_gamma 37.97
_symmetry_space_group_name_H-M 'P 1'
_symmetry_Int_Tables_number 1
_symmetry_space_group_name_Hall 'P 1'
loop_
_atom_site_label
_atom_site_fract_x
_atom_site_fract_y
_atom_site_fract_z
_atom_site_occupancy
Fe1 0.7350 0.7350 0.8020 1
Fe2 0.9975 0.9975 0.0004 1
Co1 0.2650 0.2650 0.2023 1
Tl1 0.5025 0.5025 0.4954 1

=====

6.
# Sr3Li2 (PBE, optimized geometry)
# **Total DFT energy (no corrections)**: -8.8 eV per formula unit
# **Energy above the most stable polymorph in this dataset**: 0.08 eV/f.u.
# **Energy of formation**: 15 meV per atom
# **N(E_F)**: 8.21 states/eV per cell
# **Crystal system**: tetragonal
# **Total moment**: 0.000 μB/atom
data_Sr3Li2
_chemical_formula_sum 'Sr6 Li4'
_cell_length_a 4.5360
_cell_length_b 9.5800
_cell_length_c 9.5800
_cell_angle_alpha 90.00
_cell_angle_beta 90.00
_cell_angle_gamma 90.00
_symmetry_space_group_name_H-M 'P 1'
_symmetry_Int_Tables_number 1
_symmetry_space_group_name_Hall 'P 1'
loop_
_atom_site_label
_atom_site_fract_x
_atom_site_fract_y
_atom_site_fract_z
_atom_site_occupancy
Li1 0.0000 0.8801 0.6199 1
Li2 0.0000 0.1199 0.3801 1
Li3 0.0000 0.3801 0.8801 1
Li4 0.0000 0.6199 0.1199 1
Sr1 0.5000 0.3304 0.1696 1
Sr2 0.5000 0.8304 0.3304 1
Sr3 0.5000 0.6696 0.8304 1
Sr4 0.0000 0.5000 0.5000 1
Sr5 0.0000 0.0000 0.0000 1
Sr6 0.5000 0.1696 0.6696 1

=====

7.
# BaYOs2O8 (PBE, optimized geometry)
# **Total DFT energy (no corrections)**: -90.5 eV per formula unit
# **Uncorrected formation energy**: -1.67 eV/atom
# **N(E_F)**: 5.53 states/eV per cell
# **Crystal system**: trigonal
# **Total moment**: 0.251 μB/atom
data_BaYOs2O8
_chemical_formula_sum 'Ba1 Y1 Os2 O8'
_cell_length_a 5.9480
_cell_length_b 5.9480
_cell_length_c 7.6086
_cell_angle_alpha 90.00
_cell_angle_beta 90.00
_cell_angle_gamma 120.00
_symmetry_space_group_name_H-M 'P 1'
_symmetry_Int_Tables_number 1
_symmetry_space_group_name_Hall 'P 1'
loop_
_atom_site_label
_atom_site_fract_x
_atom_site_fract_y
_atom_site_fract_z
_atom_site_occupancy
Ba1 0.0000 0.0000 0.0000 1
Os1 0.3333 0.6667 0.7723 1
Os2 0.6667 0.3333 0.2277 1
O1 0.6725 0.8353 0.6964 1
O2 0.3275 0.1647 0.3036 1
O3 0.3333 0.6667 0.0094 1
O4 0.8353 0.1628 0.3036 1
O5 0.1647 0.8372 0.6964 1
O6 0.6667 0.3333 0.9906 1
O7 0.8372 0.6725 0.3036 1
O8 0.1628 0.3275 0.6964 1
Y1 0.0000 0.0000 0.5000 1

=====

8.
# Ho8BiAu2 (PBE, optimized geometry)
# **Total DFT energy (no corrections)**: -51.8 eV per formula unit
# **Energy of formation**: -435 meV per atom
# **N(E_F)**: 9.24 states/eV per cell
# **Crystal system**: monoclinic
# **Total moment**: 0.000 μB/atom
data_Ho8BiAu2
_chemical_formula_sum 'Ho8 Bi1 Au2'
_cell_length_a 5.0273
_cell_length_b 7.1650
_cell_length_c 9.3585
_cell_angle_alpha 103.88
_cell_angle_beta 105.58
_cell_angle_gamma 90.00
_symmetry_space_group_name_H-M 'P 1'
_symmetry_Int_Tables_number 1
_symmetry_space_group_name_Hall 'P 1'
loop_
_atom_site_label
_atom_site_fract_x
_atom_site_fract_y
_atom_site_fract_z
_atom_site_occupancy
Ho1 0.5916 0.4595 0.1832 1
Ho2 0.4084 0.5405 0.8168 1
Ho3 0.6728 0.9658 0.3455 1
Ho4 0.7972 0.6698 0.5944 1
Ho5 0.3272 0.0342 0.6545 1
Ho6 0.0351 0.7495 0.0701 1
Ho7 0.9649 0.2505 0.9299 1
Ho8 0.2028 0.3302 0.4056 1
Au1 0.1929 0.7220 0.3858 1
Au2 0.8071 0.2780 0.6142 1
Bi1 0.5000 0.0000 0.0000 1

=====

9.
# NaAlS3 (PBE, optimized geometry)
# **Total DFT energy (no corrections)**: -13.4 eV per formula unit
# **Uncorrected formation energy**: 0.82 eV/atom
# **Energy above the most stable polymorph in this dataset**: 6.28 eV/f.u.
# **N(E_F)**: 1.36 states/eV per cell
# **Crystal system**: cubic
# **Total moment**: 0.800 μB/atom
data_NaAlS3
_chemical_formula_sum 'Na1 Al1 S3'
_cell_length_a 5.0265
_cell_length_b 5.0265
_cell_length_c 5.0265
_cell_angle_alpha 90.00
_cell_angle_beta 90.00
_cell_angle_gamma 90.00
_symmetry_space_group_name_H-M 'P 1'
_symmetry_Int_Tables_number 1
_symmetry_space_group_name_Hall 'P 1'
loop_
_atom_site_label
_atom_site_fract_x
_atom_site_fract_y
_atom_site_fract_z
_atom_site_occupancy
S1 0.0000 0.5000 0.0000 1
S2 0.5000 0.0000 0.0000 1
S3 0.0000 0.0000 0.5000 1
Na1 0.0000 0.0000 0.0000 1
Al1 0.5000 0.5000 0.5000 1

=====

10.
# NaSrBiI6 (PBE, optimized geometry)
# **Total DFT energy (no corrections)**: -25.4 eV per formula unit
# **Uncorrected formation energy**: -1.03 eV/atom
# **N(E_F)**: 0.00 states/eV per cell
# **Crystal system**: trigonal
# **Total moment**: 0.000 μB/atom
data_NaSrBiI6
_chemical_formula_sum 'Na2 Sr2 Bi2 I12'
_cell_length_a 8.1003
_cell_length_b 8.1003
_cell_length_c 14.4890
_cell_angle_alpha 90.00
_cell_angle_beta 90.00
_cell_angle_gamma 120.00
_symmetry_space_group_name_H-M 'P 1'
_symmetry_Int_Tables_number 1
_symmetry_space_group_name_Hall 'P 1'
loop_
_atom_site_label
_atom_site_fract_x
_atom_site_fract_y
_atom_site_fract_z
_atom_site_occupancy
I1 0.3381 0.9827 0.6250 1
I2 0.9827 0.3381 0.1250 1
I3 0.3555 0.0173 0.1250 1
I4 0.0173 0.3555 0.6250 1
I5 0.3381 0.3555 0.8750 1
I6 0.6445 0.9827 0.8750 1
I7 0.6619 0.6445 0.1250 1
I8 0.6445 0.6619 0.6250 1
I9 0.9827 0.6445 0.3750 1
I10 0.3555 0.3381 0.3750 1
I11 0.0173 0.6619 0.8750 1
I12 0.6619 0.0173 0.3750 1
Na1 0.0000 0.0000 0.5000 1
Na2 0.0000 0.0000 0.0000 1
Sr1 0.6667 0.3333 0.7500 1
Sr2 0.3333 0.6667 0.2500 1
Bi1 0.6667 0.3333 0.2500 1
Bi2 0.3333 0.6667 0.7500 1